(1)
! TaAlPt2 | Alexandria | PBE | optimized geometry; values from VASP
&SYSTEM
  ibrav = 0, nat = 4, ntyp = 3
/
ATOMIC_SPECIES
Ta 180.95 Ta.upf
Pt 195.08 Pt.upf
Al 26.98 Al.upf
ATOMIC_POSITIONS crystal
Ta 0.500 0.250 0.250
Pt 0.000 0.503 0.500
Pt 0.000 0.997 0.000
Al 0.500 0.750 0.750
CELL_PARAMETERS angstrom
-1.265 1.301 3.514
2.510 -0.688 1.158
4.447 4.448 -0.046
! Calculated formation energy   -0.69 eV/atom

(2)
! SrZn2IrAu | Alexandria | PBE | optimized geometry; values from VASP
&SYSTEM
  ibrav = 0, nat = 5, ntyp = 4
/
ATOMIC_SPECIES
Zn 65.41 Zn.upf
Au 196.97 Au.upf
Sr 87.62 Sr.upf
Ir 192.22 Ir.upf
ATOMIC_POSITIONS crystal
Zn 0.500 0.000 0.000
Au 0.000 0.000 0.000
Zn 0.000 0.000 0.500
Sr 0.500 0.500 0.500
Ir 0.000 0.500 0.000
CELL_PARAMETERS angstrom
-1.808 -4.380 -0.705
1.849 0.037 -4.974
4.110 -1.940 1.513
! Calculated formation energy   0.23 eV/atom

(3)
! HfZr3 | Alexandria | PBE | optimized geometry; values from VASP
&SYSTEM
  ibrav = 0, nat = 4, ntyp = 2
/
ATOMIC_SPECIES
Zr 91.22 Zr.upf
Hf 178.49 Hf.upf
ATOMIC_POSITIONS crystal
Zr 0.000 0.500 0.500
Zr 0.500 0.500 0.000
Hf 0.000 0.000 0.000
Zr 0.500 0.000 0.500
CELL_PARAMETERS angstrom
4.510 0.000 0.000
0.000 4.510 0.000
0.000 0.000 4.510
! Energy relative to the lowest polymorph listed for this composition   46 meV per atom
! Calculated formation energy   0.04 eV/atom

(4)
! Na2SrTl8 | Alexandria | PBE | optimized geometry; values from VASP
&SYSTEM
  ibrav = 0, nat = 11, ntyp = 3
/
ATOMIC_SPECIES
Tl 204.38 Tl.upf
Sr 87.62 Sr.upf
Na 22.99 Na.upf
ATOMIC_POSITIONS crystal
Tl 0.146 0.206 0.413
Sr 0.000 0.000 0.000
Tl 0.465 0.657 0.818
Tl 0.535 0.343 0.182
Tl 0.465 0.161 0.818
Tl 0.971 0.399 0.798
Tl 0.535 0.839 0.182
Na 0.658 0.249 0.498
Na 0.342 0.751 0.502
Tl 0.029 0.601 0.202
Tl 0.854 0.794 0.587
CELL_PARAMETERS angstrom
6.289 0.198 -0.090
-0.217 5.968 -2.021
0.637 -0.214 9.135
! Energy relative to the lowest polymorph listed for this composition   9 meV per atom
! Calculated formation energy   -0.09 eV/atom

(5)
! K2GaRhO4 | Alexandria | PBE | optimized geometry; values from VASP
&SYSTEM
  ibrav = 0, nat = 16, ntyp = 4
/
ATOMIC_SPECIES
K 39.10 K.upf
O 16.00 O.upf
Ga 69.72 Ga.upf
Rh 102.91 Rh.upf
ATOMIC_POSITIONS crystal
K 0.931 0.500 0.138
O 0.217 0.170 0.916
O 0.303 0.830 0.084
K 0.819 0.000 0.362
Ga 0.500 0.000 0.000
O 0.867 0.830 0.916
Ga 0.250 0.500 0.500
O 0.533 0.330 0.584
Rh 0.000 0.000 0.000
K 0.569 0.500 0.862
Rh 0.750 0.500 0.500
O 0.447 0.670 0.416
O 0.137 0.330 0.416
K 0.181 0.000 0.638
O 0.883 0.670 0.584
O 0.613 0.170 0.084
CELL_PARAMETERS angstrom
-5.636 0.588 -1.187
-4.208 -2.056 4.842
-2.714 8.538 2.998
! Raw total energy   -0.3828 Ry/atom

(6)
! CrSiP2 | Alexandria | PBE | optimized geometry; values from VASP
&SYSTEM
  ibrav = 0, nat = 4, ntyp = 3
/
ATOMIC_SPECIES
Cr 52.00 Cr.upf
P 30.97 P.upf
Si 28.09 Si.upf
ATOMIC_POSITIONS crystal
Cr 0.500 0.500 0.864
P 0.000 0.000 0.868
P 0.500 0.500 0.352
Si 0.000 0.000 0.416
CELL_PARAMETERS angstrom
-1.603 -0.940 -2.906
-0.008 -3.280 1.065
-4.531 0.745 2.259
! Raw total energy   -0.4782 Ry/atom

(7)
! Hf3NiGe2 | Alexandria | PBE | optimized geometry; values from VASP
&SYSTEM
  ibrav = 0, nat = 24, ntyp = 3
/
ATOMIC_SPECIES
Ge 72.64 Ge.upf
Hf 178.49 Hf.upf
Ni 58.69 Ni.upf
ATOMIC_POSITIONS crystal
Ge 0.750 0.314 0.520
Hf 0.250 0.432 0.377
Hf 0.250 0.121 0.542
Hf 0.250 0.379 0.042
Hf 0.750 0.568 0.623
Ni 0.250 0.362 0.639
Ni 0.250 0.138 0.139
Hf 0.750 0.621 0.958
Ge 0.250 0.985 0.308
Ge 0.750 0.186 0.020
Ni 0.750 0.862 0.861
Ge 0.250 0.515 0.808
Hf 0.750 0.932 0.123
Hf 0.250 0.689 0.208
Ge 0.250 0.686 0.480
Hf 0.750 0.879 0.458
Hf 0.750 0.311 0.792
Ge 0.250 0.814 0.980
Hf 0.750 0.189 0.292
Ni 0.750 0.638 0.361
Ge 0.750 0.485 0.192
Hf 0.250 0.068 0.877
Hf 0.250 0.811 0.708
Ge 0.750 0.015 0.692
CELL_PARAMETERS angstrom
-3.874 -0.315 -0.219
0.873 -4.215 -9.366
0.540 -9.735 4.432
! Calculated formation energy   -0.66 eV/atom

(8)
! Ca2InGe3Pd4 | Alexandria | PBE | optimized geometry; values from VASP
&SYSTEM
  ibrav = 0, nat = 10, ntyp = 4
/
ATOMIC_SPECIES
Pd 106.42 Pd.upf
Ge 72.64 Ge.upf
In 114.82 In.upf
Ca 40.08 Ca.upf
ATOMIC_POSITIONS crystal
Pd 0.000 0.500 0.347
Pd 0.500 0.500 0.000
Ge 0.500 0.000 0.872
Ge 0.000 0.500 0.128
In 0.500 0.500 0.500
Ca 0.500 0.000 0.241
Pd 0.000 0.000 0.000
Ca 0.000 0.500 0.759
Ge 0.000 0.000 0.500
Pd 0.500 0.000 0.653
CELL_PARAMETERS angstrom
4.204 0.000 0.000
0.000 4.204 0.000
0.000 0.000 11.234
! Calculated formation energy   -0.66 eV/atom

(9)
! TeWSe | Alexandria | PBE | optimized geometry; values from VASP
&SYSTEM
  ibrav = 0, nat = 3, ntyp = 3
/
ATOMIC_SPECIES
W 183.84 W.upf
Se 78.96 Se.upf
Te 127.60 Te.upf
ATOMIC_POSITIONS crystal
W 0.660 0.660 0.000
Se 0.049 0.049 0.000
Te 0.291 0.291 0.000
CELL_PARAMETERS angstrom
-1.112 -1.238 -6.886
-2.286 -4.928 -4.546
-0.409 3.879 5.913
! Energy relative to the lowest polymorph listed for this composition   365 meV per atom

(10)
! NpUAgO6 | Alexandria | PBE | optimized geometry; values from VASP
&SYSTEM
  ibrav = 0, nat = 18, ntyp = 4
/
ATOMIC_SPECIES
Np 237.00 Np.upf
O 16.00 O.upf
Ag 107.87 Ag.upf
U 238.03 U.upf
ATOMIC_POSITIONS crystal
Np 0.333 0.667 0.250
O 0.626 0.996 0.856
O 0.996 0.370 0.144
O 0.630 0.626 0.144
O 0.004 0.630 0.856
Ag 0.000 0.000 0.000
Ag 0.000 0.000 0.500
Np 0.667 0.333 0.750
U 0.667 0.333 0.250
O 0.370 0.996 0.644
O 0.630 0.004 0.356
O 0.626 0.630 0.644
O 0.996 0.626 0.356
O 0.374 0.370 0.356
O 0.004 0.374 0.644
O 0.374 0.004 0.144
O 0.370 0.374 0.856
U 0.333 0.667 0.750
CELL_PARAMETERS angstrom
5.891 0.000 0.000
-2.945 5.102 0.000
0.000 0.000 9.667
! Raw total energy   -0.6419 Ry/atom

(11)
! LaDyCuRh | Alexandria | PBE | optimized geometry; values from VASP
&SYSTEM
  ibrav = 0, nat = 4, ntyp = 4
/
ATOMIC_SPECIES
Cu 63.55 Cu.upf
La 138.91 La.upf
Rh 102.91 Rh.upf
Dy 162.50 Dy.upf
ATOMIC_POSITIONS crystal
Cu 0.573 0.500 0.146
La 0.146 0.000 0.293
Rh 0.414 0.000 0.827
Dy 0.867 0.500 0.734
CELL_PARAMETERS angstrom
-0.762 1.694 3.389
-1.720 -3.929 1.577
5.077 -2.207 0.041
! Energy relative to the lowest polymorph listed for this composition   0 meV per atom
! Calculated formation energy   -0.52 eV/atom

(12)
! YTmMg | Alexandria | PBE | optimized geometry; values from VASP
&SYSTEM
  ibrav = 0, nat = 3, ntyp = 3
/
ATOMIC_SPECIES
Y 88.91 Y.upf
Mg 24.30 Mg.upf
Tm 168.93 Tm.upf
ATOMIC_POSITIONS crystal
Y 0.627 0.667 0.333
Mg 0.320 0.333 0.667
Tm 0.053 0.000 0.000
CELL_PARAMETERS angstrom
-1.804 -1.374 -2.506
-1.934 -3.717 3.431
-2.628 4.687 -0.678
! Energy relative to the lowest polymorph listed for this composition   89 meV per atom
! Calculated formation energy   0.05 eV/atom